[1]
A relaxed structure of Mg7Cd2Pb2. Source: Alexandria, functional PBE.

Output
E above lowest polymorph = 50 meV per atom
DFT formation energy = 22 meV/atom
crystal system = orthorhombic

a = 6.209 Å, b = 8.051 Å, c = 6.209 Å
α = 90.00°, β = 113.87°, γ = 90.00°
Fractional positions:
Mg 0.000 0.298 0.500
Mg 0.500 0.702 0.000
Mg 0.000 0.702 0.500
Mg 0.500 0.298 0.000
Mg 0.000 0.000 0.000
Mg 0.500 0.802 0.500
Mg 0.500 0.198 0.500
Cd 0.730 0.000 0.270
Cd 0.270 0.000 0.730
Pb 0.768 0.500 0.768
Pb 0.232 0.500 0.232

***

[2]
A relaxed structure of In2Ga3Sn. Source: Alexandria, functional PBE.

Output
E above lowest polymorph = 12 meV per atom
DFT formation energy = 56 meV/atom
crystal system = orthorhombic

a = 5.677 Å, b = 7.800 Å, c = 7.751 Å
α = 120.21°, β = 90.00°, γ = 90.00°
Fractional positions:
In 0.750 0.499 0.334
In 0.250 0.501 0.666
In 0.250 0.835 0.334
In 0.750 0.165 0.666
Ga 0.000 0.166 0.332
Ga 0.500 0.834 0.668
Ga 0.000 0.500 0.000
Ga 0.500 0.500 0.000
Ga 0.000 0.834 0.668
Ga 0.500 0.166 0.332
Sn 0.250 0.169 0.000
Sn 0.750 0.831 0.000

***

[3]
A relaxed structure of LaTi2As2. Source: Alexandria, functional PBE.

Output
E above lowest polymorph = 0 meV per atom
DFT formation energy = -1022 meV/atom
crystal system = tetragonal

a = 4.009 Å, b = 4.009 Å, c = 7.044 Å
α = 73.47°, β = 73.47°, γ = 90.00°
Fractional positions:
As 0.379 0.379 0.242
As 0.621 0.621 0.758
Ti 0.750 0.250 0.500
Ti 0.250 0.750 0.500
La 0.000 0.000 0.000

***

[4]
A relaxed structure of SmGdTmCd. Source: Alexandria, functional PBE.

Output
DFT formation energy = -51 meV/atom
crystal system = cubic

a = 5.473 Å, b = 5.473 Å, c = 5.473 Å
α = 60.00°, β = 60.00°, γ = 60.00°
Each line ends with the local moment (μB).
Fractional positions:
Gd 0.500 0.500 0.500  -7.19
Tm 0.250 0.250 0.250  -0.13
Sm 0.000 0.000 0.000  -0.07
Cd 0.750 0.750 0.750  0.01

***

[5]
A relaxed structure of Sm3DyTm3. Source: Alexandria, functional PBE.

Output
E above lowest polymorph = 0 meV per atom
DFT formation energy = 15 meV/atom
crystal system = hexagonal

a = 5.685 Å, b = 9.556 Å, c = 9.556 Å
α = 120.00°, β = 90.00°, γ = 90.00°
Fractional positions:
Sm 0.750 0.758 0.807
Sm 0.750 0.049 0.242
Sm 0.750 0.193 0.951
Sm 0.250 0.242 0.193
Sm 0.250 0.951 0.758
Sm 0.250 0.807 0.049
Dy 0.750 0.333 0.667
Dy 0.250 0.667 0.333
Tm 0.250 0.522 0.617
Tm 0.250 0.095 0.478
Tm 0.250 0.383 0.905
Tm 0.750 0.478 0.383
Tm 0.750 0.905 0.522
Tm 0.750 0.617 0.095

***

[6]
A relaxed structure of NdMgGaSn. Source: Alexandria, functional PBE.

Output
E above lowest polymorph = 0 meV per atom
DFT formation energy = -501 meV/atom
crystal system = orthorhombic

a = 4.416 Å, b = 4.623 Å, c = 4.711 Å
α = 90.00°, β = 90.00°, γ = 90.00°
Fractional positions:
Nd 0.500 0.000 0.500
Mg 0.500 0.500 0.000
Ga 0.000 0.500 0.500
Sn 0.000 0.000 0.000

***

[7]
A relaxed structure of SmPuCuOs. Source: Alexandria, functional PBE.

Output
DFT formation energy = -7 meV/atom
crystal system = cubic

a = 4.898 Å, b = 4.898 Å, c = 4.898 Å
α = 60.00°, β = 60.00°, γ = 60.00°
Each line ends with the local moment (μB).
Fractional positions:
Os 0.500 0.500 0.500  -0.28
Cu 0.000 0.000 0.000  0.05
Sm 0.750 0.750 0.750  0.11
Pu 0.250 0.250 0.250  5.15

***

[8]
A relaxed structure of Hf2TiNi3. Source: Alexandria, functional PBE.

Output
E above lowest polymorph = 41 meV per atom
DFT formation energy = -419 meV/atom
crystal system = orthorhombic

a = 7.711 Å, b = 7.711 Å, c = 13.843 Å
α = 100.57°, β = 100.57°, γ = 109.97°
Each line ends with the local moment (μB).
Fractional positions:
Hf 0.410 0.910 0.819  0.01
Hf 0.090 0.590 0.181  0.01
Hf 0.840 0.840 0.681  0.01
Hf 0.160 0.160 0.319  0.01
Hf 0.280 0.720 0.000  0.09
Hf 0.720 0.280 0.000  0.09
Hf 0.970 0.030 0.500  0.09
Hf 0.530 0.470 0.500  0.09
Hf 0.191 0.192 0.851  0.10
Hf 0.341 0.340 0.149  0.10
Hf 0.059 0.558 0.649  0.10
Hf 0.909 0.410 0.351  0.10
Hf 0.808 0.809 0.149  0.10
Hf 0.660 0.659 0.851  0.10
Hf 0.442 0.941 0.351  0.10
Hf 0.590 0.091 0.649  0.10
Ti 0.500 0.500 0.000  1.26
Ti 0.750 0.250 0.500  1.26
Ti 0.000 0.000 0.000  0.05
Ti 0.250 0.750 0.500  0.05
Ti 0.918 0.418 0.836  0.04
Ti 0.582 0.082 0.164  0.04
Ti 0.332 0.332 0.664  0.04
Ti 0.668 0.668 0.336  0.04
Ni 0.273 0.538 0.809  0.02
Ni 0.728 0.464 0.191  0.02
Ni 0.977 0.212 0.691  0.02
Ni 0.522 0.286 0.309  0.02
Ni 0.462 0.727 0.191  0.02
Ni 0.536 0.272 0.809  0.02
Ni 0.788 0.023 0.309  0.02
Ni 0.714 0.478 0.691  0.02
Ni 0.796 0.065 0.841  0.01
Ni 0.224 0.955 0.159  0.01
Ni 0.454 0.685 0.659  0.01
Ni 0.026 0.795 0.341  0.01
Ni 0.935 0.204 0.159  0.01
Ni 0.045 0.776 0.841  0.01
Ni 0.315 0.546 0.341  0.01
Ni 0.205 0.974 0.659  0.01
Ni 0.070 0.356 0.004  0.02
Ni 0.352 0.067 0.996  0.02
Ni 0.180 0.394 0.496  0.02
Ni 0.898 0.683 0.504  0.02
Ni 0.644 0.930 0.996  0.02
Ni 0.933 0.648 0.004  0.02
Ni 0.606 0.820 0.504  0.02
Ni 0.317 0.102 0.496  0.02